1.
Here is crystalline BaCoBr at its relaxed geometry from Alexandria. Energies are from PBE-GGA. Values from VASP.

The structure in Quantum ESPRESSO input format:
```
&SYSTEM
  ibrav = 0, nat = 3, ntyp = 3
/
ATOMIC_SPECIES
Co 58.93 Co.upf
Ba 137.33 Ba.upf
Br 79.90 Br.upf
CELL_PARAMETERS angstrom
-3.726 2.959 -2.795
-5.120 -1.945 -0.682
-4.222 2.349 2.667
ATOMIC_POSITIONS crystal
Co 0.500 0.500 0.500
Ba 0.750 0.750 0.750
Br 0.000 0.000 0.000
```

Relative energy among the computed polymorphs (eV/atom): 0.6464
VASP energy (eV/atom): -3.624
Total moment (μB per formula unit): 2.000
E_form (uncorrected) (eV/atom): -0.057
Space-group type: F-43m


2.
Here is crystalline Ba2CoBr6 at its relaxed geometry from Alexandria. Energies are from PBE-GGA. Values from VASP.

The structure in Quantum ESPRESSO input format:
```
&SYSTEM
  ibrav = 0, nat = 18, ntyp = 3
/
ATOMIC_SPECIES
Br 79.90 Br.upf
Ba 137.33 Ba.upf
Co 58.93 Co.upf
CELL_PARAMETERS angstrom
-2.212 5.901 -5.395
-3.259 -4.890 -4.012
-8.514 1.648 5.294
ATOMIC_POSITIONS crystal
Br 0.662 0.809 0.954
Br 0.211 0.659 0.951
Br 0.983 0.909 0.255
Ba 0.606 0.038 0.256
Br 0.162 0.691 0.546
Co 0.500 0.500 0.000
Br 0.838 0.309 0.454
Br 0.483 0.591 0.245
Br 0.017 0.091 0.745
Br 0.289 0.159 0.451
Br 0.711 0.841 0.549
Co 0.000 0.000 0.500
Ba 0.106 0.462 0.244
Br 0.789 0.341 0.049
Br 0.517 0.409 0.755
Ba 0.394 0.962 0.744
Ba 0.894 0.538 0.756
Br 0.338 0.191 0.046
```

VASP energy (eV/atom): -3.875
Total moment (μB per formula unit): 3.002
E_form (uncorrected) (eV/atom): -1.543
Space-group type: P2_1/c
Fermi-level density of states (states/eV/cell): 0.9


3.
Here is crystalline BaCoBr at its relaxed geometry from Alexandria. Energies are from PBE-GGA. Values from VASP.

The structure in Quantum ESPRESSO input format:
```
&SYSTEM
  ibrav = 0, nat = 3, ntyp = 3
/
ATOMIC_SPECIES
Ba 137.33 Ba.upf
Br 79.90 Br.upf
Co 58.93 Co.upf
CELL_PARAMETERS angstrom
5.750 -0.569 0.013
2.817 5.045 -0.013
-4.291 -2.223 3.167
ATOMIC_POSITIONS crystal
Ba 0.011 0.011 0.000
Br 0.365 0.365 0.000
Co 0.623 0.623 0.000
```

Relative energy among the computed polymorphs (eV/atom): 0.6603
VASP energy (eV/atom): -3.610
Total moment (μB per formula unit): 2.010
E_form (uncorrected) (eV/atom): -0.043
Space-group type: I4mm
Fermi-level density of states (states/eV/cell): 6.8


4.
Here is crystalline Ba2CoBr at its relaxed geometry from Alexandria. Energies are from PBE-GGA. Values from VASP.

The structure in Quantum ESPRESSO input format:
```
&SYSTEM
  ibrav = 0, nat = 8, ntyp = 3
/
ATOMIC_SPECIES
Ba 137.33 Ba.upf
Br 79.90 Br.upf
Co 58.93 Co.upf
CELL_PARAMETERS angstrom
-0.899 -5.003 -6.205
-4.553 -4.803 4.532
-6.626 -2.501 -2.208
ATOMIC_POSITIONS crystal
Ba 0.375 0.427 0.750
Br 0.750 0.250 0.500
Br 0.000 0.000 0.000
Ba 0.875 0.823 0.750
Ba 0.573 0.125 0.250
Ba 0.177 0.625 0.250
Co 0.500 0.500 0.000
Co 0.250 0.750 0.500
```

Relative energy among the computed polymorphs (eV/atom): 0.1572
VASP energy (eV/atom): -3.470
Total moment (μB per formula unit): 0.000
E_form (uncorrected) (eV/atom): -0.314
Space-group type: I-42d
Fermi-level density of states (states/eV/cell): 0.0